## AcGdNiOs (PBE)

Data for crystalline AcGdNiOs at its relaxed geometry.

Values from the calculation:
- total DFT energy (no corrections) (eV for the cell shown) = -141.21
- formation energy from the elements (eV/atom) = -0.025

The structure in CIF format:
```
data_AcGdNiOs
_chemical_formula_sum 'Ac4 Gd4 Ni4 Os4'
_cell_length_a 7.115
_cell_length_b 7.115
_cell_length_c 7.115
_cell_angle_alpha 90.00
_cell_angle_beta 90.00
_cell_angle_gamma 90.00
_symmetry_space_group_name_H-M 'F -4 3 m'
_symmetry_Int_Tables_number 216
_symmetry_space_group_name_Hall 'F -4 2 3'
loop_
_atom_site_label
_atom_site_type_symbol
_atom_site_fract_x
_atom_site_fract_y
_atom_site_fract_z
Ac1 Ac 0.000 0.000 0.000
Gd1 Gd 0.000 0.000 0.500
Ni1 Ni 0.250 0.250 0.750
Os1 Os 0.250 0.250 0.250
```

## CsTaBe (PBE)

Data for crystalline CsTaBe at its relaxed geometry.

Values from the calculation:
- total DFT energy (no corrections) (eV for the cell shown) = -23.36
- energy above the lowest structure with this stoichiometry (eV/atom) = 1.112
- formation energy from the elements (eV/atom) = 1.585

The structure in CIF format:
```
data_CsTaBe
_chemical_formula_sum 'Cs2 Ta2 Be2'
_cell_length_a 4.0668
_cell_length_b 4.0668
_cell_length_c 12.9742
_cell_angle_alpha 90.00
_cell_angle_beta 90.00
_cell_angle_gamma 120.00
_symmetry_space_group_name_H-M 'P 63/m m c'
_symmetry_Int_Tables_number 194
_symmetry_space_group_name_Hall '-P 6c 2c'
loop_
_atom_site_label
_atom_site_type_symbol
_atom_site_fract_x
_atom_site_fract_y
_atom_site_fract_z
Cs1 Cs 0.0000 0.0000 0.0000
Ta1 Ta 0.3333 0.6667 0.2500
Be1 Be 0.3333 0.6667 0.7500
```

## ZrTa2Fe2 (PBE)

Data for crystalline ZrTa2Fe2 at its relaxed geometry.

Values from the calculation:
- total DFT energy (no corrections) (eV for the cell shown) = -98.34
- energy above the lowest structure with this stoichiometry (eV/atom) = 0.038
- formation energy from the elements (eV/atom) = 0.002

The structure in CIF format:
```
data_ZrTa2Fe2
_chemical_formula_sum 'Zr2 Ta4 Fe4'
_cell_length_a 7.249
_cell_length_b 7.249
_cell_length_c 3.044
_cell_angle_alpha 90.00
_cell_angle_beta 90.00
_cell_angle_gamma 90.00
_symmetry_space_group_name_H-M 'P 4/m b m'
_symmetry_Int_Tables_number 127
_symmetry_space_group_name_Hall '-P 4 2ab'
loop_
_atom_site_label
_atom_site_type_symbol
_atom_site_fract_x
_atom_site_fract_y
_atom_site_fract_z
Zr1 Zr 0.000 0.000 0.000
Ta1 Ta 0.157 0.343 0.500
Fe1 Fe 0.131 0.631 0.000
```

## Cu2SiGeMo (PBE)

Data for crystalline Cu2SiGeMo at its relaxed geometry.

Values from the calculation:
- energy relative to the elements, uncorrected (eV per atom) = 1.150
- total DFT energy (no corrections) (eV for the cell shown) = -23.31

The structure in CIF format:
```
data_Cu2SiGeMo
_chemical_formula_sum 'Cu2 Si1 Ge1 Mo1'
_cell_length_a 4.720
_cell_length_b 4.720
_cell_length_c 4.663
_cell_angle_alpha 90.00
_cell_angle_beta 90.00
_cell_angle_gamma 90.00
_symmetry_space_group_name_H-M 'P 4/m m m'
_symmetry_Int_Tables_number 123
_symmetry_space_group_name_Hall '-P 4 2'
loop_
_atom_site_label
_atom_site_type_symbol
_atom_site_fract_x
_atom_site_fract_y
_atom_site_fract_z
Cu1 Cu 0.000 0.500 0.000
Si1 Si 0.000 0.000 0.500
Ge1 Ge 0.500 0.500 0.500
Mo1 Mo 0.000 0.000 0.000
```

## SiGeIr (PBE)

Data for crystalline SiGeIr at its relaxed geometry.

Values from the calculation:
- energy relative to the elements, uncorrected (eV per atom) = -0.389
- total DFT energy (no corrections) (eV for the cell shown) = -80.28
- energy above the lowest structure with this stoichiometry (eV/atom) = 0.000

The structure in CIF format:
```
data_SiGeIr
_chemical_formula_sum 'Si4 Ge4 Ir4'
_cell_length_a 7.461
_cell_length_b 4.159
_cell_length_c 7.204
_cell_angle_alpha 90.00
_cell_angle_beta 119.74
_cell_angle_gamma 90.00
_symmetry_space_group_name_H-M 'C 1 2/m 1'
_symmetry_Int_Tables_number 12
loop_
_symmetry_equiv_pos_as_xyz
'x,y,z'
'-x,-y,-z'
'-x,y,-z'
'x,-y,z'
'x+1/2,y+1/2,z'
'-x+1/2,-y+1/2,-z'
'-x+1/2,y+1/2,-z'
'x+1/2,-y+1/2,z'
loop_
_atom_site_label
_atom_site_type_symbol
_atom_site_fract_x
_atom_site_fract_y
_atom_site_fract_z
Si1 Si 0.170 0.000 0.364
Ge1 Ge 0.098 0.500 0.870
Ir1 Ir 0.193 0.000 0.715
```

## ZnNiP2 (PBE)

Data for crystalline ZnNiP2 at its relaxed geometry.

Values from the calculation:
- total DFT energy (no corrections) (eV for the cell shown) = -36.47
- formation energy from the elements (eV/atom) = -0.090

The structure in CIF format:
```
data_ZnNiP2
_chemical_formula_sum 'Zn2 Ni2 P4'
_cell_length_a 3.568
_cell_length_b 2.609
_cell_length_c 12.964
_cell_angle_alpha 90.00
_cell_angle_beta 90.00
_cell_angle_gamma 90.00
_symmetry_space_group_name_H-M 'A m m 2'
_symmetry_Int_Tables_number 38
loop_
_symmetry_equiv_pos_as_xyz
'x,y,z'
'-x,-y,z'
'-x,y,z'
'x,-y,z'
'x,y+1/2,z+1/2'
'-x,-y+1/2,z+1/2'
'-x,y+1/2,z+1/2'
'x,-y+1/2,z+1/2'
loop_
_atom_site_label
_atom_site_type_symbol
_atom_site_fract_x
_atom_site_fract_y
_atom_site_fract_z
Zn1 Zn 0.000 0.000 0.000
Ni1 Ni 0.500 0.000 0.753
P1 P 0.000 0.000 0.183
P2 P 0.500 0.000 0.404
```